First-principles (GGA+U) data for an optimized crystal structure of NaCrRe2O8, as listed in Alexandria via LeMat-Bulk.

Properties
Fermi-level density of states in states/eV/f.u.: 2.32
Crystal system: monoclinic
Electronic total energy in eV for the cell shown: -93.153

Unit cell a=5.4065 b=5.4065 c=7.2046 alpha=90.78 beta=90.78 gamma=67.62
Positions (direct):
Na 0.0000 0.0000 0.0000
Cr 0.0000 0.0000 0.5000
Re 0.3565 0.3565 0.7389
Re 0.6435 0.6435 0.2611
O 0.2221 0.7130 0.7238
O 0.2269 0.2269 0.5490
O 0.2594 0.2594 0.9479
O 0.2870 0.7779 0.2762
O 0.7130 0.2221 0.7238
O 0.7406 0.7406 0.0521
O 0.7731 0.7731 0.4510
O 0.7779 0.2870 0.2762